# 1
Material: Sc6NiRh
Method: DFT, PBE
State: relaxed

The structure belongs to space group I4/mmm (No. 139); the cell edges are 4.610, 4.610 and 15.657 Å and the angles 90.00°, 90.00° and 90.00°. Symmetry generates all atoms from Sc at (0.000, 0.000, 0.250), Sc at (0.000, 0.500, 0.098), Ni at (0.000, 0.000, 0.000) and Rh at (0.000, 0.000, 0.500).

The value obtained for the uncorrected energy is -6.723 eV per atom. The value obtained for the calculated formation energy is -333 meV per atom. The density of states at the Fermi level is 10.8 states/eV/f.u.



# 2
Material: LiAg
Method: DFT, PBE
State: relaxed

The structure belongs to space group Fd-3m (No. 227, origin choice 2); the cell edges are 6.467, 6.467 and 6.467 Å and the angles 90.00°, 90.00° and 90.00°. Symmetry generates all atoms from Li at (0.125, 0.125, 0.125) and Ag at (0.125, 0.125, 0.625).

The value obtained for the uncorrected energy is -2.559 eV per atom. The value obtained for the calculated formation energy is -177 meV per atom. The density of states at the Fermi level is 0.9 states/eV/f.u.



# 3
Material: RbMnTlCl4
Method: DFT, PBE
State: relaxed

The structure belongs to space group P2_1/m (No. 11); the cell edges are 7.387, 7.262 and 9.089 Å and the angles 90.00°, 108.60° and 90.00°. Symmetry generates all atoms from Rb at (0.210, 0.250, 0.048), Mn at (0.226, 0.750, 0.788), Tl at (0.274, 0.250, 0.567), Cl at (0.010, 0.502, 0.727), Cl at (0.389, 0.750, 0.056) and Cl at (0.426, 0.750, 0.633).

The value obtained for the uncorrected energy is -4.180 eV per atom. The density of states at the Fermi level is 0.0 states/eV/f.u.



# 4
Material: Na2CuPbBr6
Method: DFT, PBE
State: relaxed

The structure belongs to space group P1 (No. 1); the cell edges are 7.300, 7.301 and 7.747 Å and the angles 118.03°, 90.05° and 119.85°. Symmetry generates all atoms from Na at (0.000, 0.000, 0.000), Na at (0.495, 0.990, 0.484), Cu at (0.800, 0.600, 0.401), Pb at (0.298, 0.596, 0.894), Br at (0.046, 0.492, 0.183), Br at (0.157, 0.067, 0.651), Br at (0.445, 0.135, 0.182), Br at (0.584, 0.740, 0.650), Br at (0.691, 0.737, 0.183) and Br at (0.909, 0.493, 0.650).

The value obtained for the uncorrected energy is -2.970 eV per atom. The density of states at the Fermi level is 6.3 states/eV/f.u.